Below is an optimized crystal structure of As2POs, with properties calculated at the PBE-GGA level.

Values from the calculation:
Mass density   8.72 g/cm³
Space-group type   C2/m
Calculated formation energy   0.324 eV per atom

```
As2POs
1.0
6.1332 -0.0900 0.2788
5.4305 2.8520 0.2788
0.4985 0.1191 3.9524
Os As P
1 2 1
Direct
0.7500 0.7500 0.7500
0.4267 0.4267 0.5294
0.0733 0.0733 0.9706
0.2500 0.2500 0.2500
```

---

Below is an optimized crystal structure of As2POs, with properties calculated at the PBE-GGA level.

Values from the calculation:
Mass density   9.08 g/cm³
Space-group type   Cmm2
Calculated formation energy   0.471 eV per atom

```
As2POs
1.0
-2.0410 1.7347 1.1002
0.9649 -2.2410 1.5596
6.5968 5.4151 3.6997
As P Os
2 1 1
Direct
0.0000 0.0000 0.9900
0.5000 0.5000 0.2776
0.5000 0.5000 0.7140
0.0000 0.0000 0.5184
```

---

Below is an optimized crystal structure of AsPOs, with properties calculated at the PBE-GGA level.

Values from the calculation:
Mass density   10.18 g/cm³
Excess energy over the best structure of this formula in the dataset   511 meV per atom
Space-group type   P3m1
Calculated formation energy   0.143 eV per atom

```
AsPOs
1.0
3.2157 0.0000 0.0000
-1.6078 2.7849 0.0000
0.0000 0.0000 5.3915
P As Os
1 1 1
Direct
0.3333 0.6667 0.6300
0.0000 0.0000 0.0161
0.6667 0.3333 0.3538
```

---

Below is an optimized crystal structure of As4POs, with properties calculated at the PBE-GGA level.

Values from the calculation:
Mass density   7.89 g/cm³
Space-group type   F-43m
Calculated formation energy   1.226 eV per atom

```
As4POs
1.0
4.8573 -0.4504 2.2495
1.9282 3.9812 3.0477
0.4491 -0.6600 5.3122
Os As P
1 4 1
Direct
0.7500 0.7500 0.7500
0.8778 0.3741 0.3741
0.3741 0.3741 0.8778
0.3741 0.8778 0.3741
0.3741 0.3741 0.3741
0.0000 0.0000 0.0000
```

---

Below is an optimized crystal structure of As2POs, with properties calculated at the PBE-GGA level.

Values from the calculation:
Mass density   8.86 g/cm³
Space-group type   Immm
Calculated formation energy   0.353 eV per atom

```
As2POs
1.0
-4.8410 -3.9346 -0.9626
-0.4623 -6.2718 -0.5414
1.7617 5.2233 3.0751
As Os P
2 1 1
Direct
0.5647 0.5647 0.0000
0.9353 0.9353 0.0000
0.7500 0.2500 0.5000
0.2500 0.7500 0.5000
```

---

Below is an optimized crystal structure of AsPOs2, with properties calculated at the PBE-GGA level.

Values from the calculation:
Mass density   11.16 g/cm³
Excess energy over the best structure of this formula in the dataset   123 meV per atom
Space-group type   R3m
Calculated formation energy   0.186 eV per atom

```
AsPOs2
1.0
9.8668 0.0091 0.0053
9.4287 2.9076 0.0053
9.4287 1.4252 2.5343
P Os As
1 2 1
Direct
0.5279 0.5279 0.5279
0.2509 0.2509 0.2509
0.9958 0.9958 0.9958
0.7254 0.7254 0.7254
```

---

Below is an optimized crystal structure of AsPOs2, with properties calculated at the PBE-GGA level.

Values from the calculation:
Mass density   14.42 g/cm³
Excess energy over the best structure of this formula in the dataset   184 meV per atom
Space-group type   P4/mmm
Calculated formation energy   0.246 eV per atom

```
AsPOs2
1.0
-1.5122 -2.5496 -0.3616
2.5205 -1.5514 0.3978
-1.1095 -0.2183 6.1793
P As Os
1 1 2
Direct
0.5000 0.5000 0.2500
0.5000 0.5000 0.7500
0.0000 0.0000 0.0284
0.0000 0.0000 0.4716
```

---

Below is an optimized crystal structure of As2POs, with properties calculated at the PBE-GGA level.

Values from the calculation:
Mass density   8.14 g/cm³
Space-group type   Cm
Calculated formation energy   0.188 eV per atom

```
As2POs
1.0
-1.4458 3.3399 -1.8704
-3.4186 2.2461 0.1091
2.1025 4.4279 4.5419
Os As P
1 2 1
Direct
0.4935 0.4935 0.4364
0.7451 0.7451 0.6809
0.0456 0.0456 0.0634
0.2159 0.2159 0.3193
```

---

Below is an optimized crystal structure of AsPOs, with properties calculated at the PBE-GGA level.

Values from the calculation:
Mass density   9.59 g/cm³
Excess energy over the best structure of this formula in the dataset   784 meV per atom
Space-group type   P-62m
Calculated formation energy   0.416 eV per atom

```
AsPOs
1.0
3.2925 -5.7027 0.0000
3.2925 5.7027 0.0000
0.0000 0.0000 4.0955
P Os As
3 3 3
Direct
0.5707 0.5707 0.5000
0.0000 0.4293 0.5000
0.4293 0.0000 0.5000
0.7529 0.7529 0.0000
0.2471 0.0000 0.0000
0.0000 0.2471 0.0000
0.0000 0.0000 0.5000
0.3333 0.6667 0.0000
0.6667 0.3333 0.0000
```

---

Below is an optimized crystal structure of AsPOs2, with properties calculated at the PBE-GGA level.

Values from the calculation:
Mass density   13.94 g/cm³
Excess energy over the best structure of this formula in the dataset   129 meV per atom
Space-group type   Pmm2
Calculated formation energy   0.192 eV per atom

```
AsPOs2
1.0
-0.9002 2.1177 -1.8019
0.8364 -2.1806 -2.9807
-4.8430 -1.9816 0.0906
Os P As
2 1 1
Direct
0.0000 0.0000 0.9674
0.5000 0.5000 0.3075
0.0000 0.0000 0.4307
0.5000 0.5000 0.7944
```

---

Below is an optimized crystal structure of As2POs, with properties calculated at the PBE-GGA level.

Values from the calculation:
Mass density   9.27 g/cm³
Space-group type   I4/mmm
Calculated formation energy   0.432 eV per atom

```
As2POs
1.0
4.4208 -0.0162 0.0129
-1.5202 4.1512 0.0129
1.4379 2.0499 3.6408
P Os As
1 1 2
Direct
0.0000 0.5000 0.5000
0.5000 0.0000 0.5000
0.5000 0.5000 0.0000
0.0000 0.0000 0.0000
```

---

Below is an optimized crystal structure of AsPOs2, with properties calculated at the PBE-GGA level.

Values from the calculation:
Mass density   13.43 g/cm³
Excess energy over the best structure of this formula in the dataset   837 meV per atom
Space-group type   F-43m
Calculated formation energy   0.899 eV per atom

```
AsPOs2
1.0
4.3977 0.0000 0.0000
2.1988 3.8085 0.0000
2.1988 1.2695 3.5907
As Os P
1 2 1
Direct
0.5000 0.5000 0.5000
0.2500 0.2500 0.2500
0.0000 0.0000 0.0000
0.7500 0.7500 0.7500
```

---

Below is an optimized crystal structure of AsPOs4, with properties calculated at the PBE-GGA level.

Values from the calculation:
Mass density   14.43 g/cm³
Space-group type   F-43m
Calculated formation energy   1.188 eV per atom

```
AsPOs4
1.0
3.3633 -3.5804 -1.7209
-1.7570 -4.3536 -2.2476
0.6360 -0.7277 -5.1146
Os P As
4 1 1
Direct
0.8746 0.3751 0.3751
0.3751 0.3751 0.3751
0.3751 0.8746 0.3751
0.3751 0.3751 0.8746
0.7500 0.7500 0.7500
0.0000 0.0000 0.0000
```

---

Below is an optimized crystal structure of As2POs, with properties calculated at the PBE-GGA level.

Values from the calculation:
Mass density   9.87 g/cm³
Space-group type   F-43m
Calculated formation energy   0.603 eV per atom

```
As2POs
1.0
-3.5187 0.5519 2.6711
-3.7696 -2.2314 -0.7945
-1.2601 -3.2842 2.7289
As P Os
2 1 1
Direct
0.2500 0.2500 0.2500
0.0000 0.0000 0.0000
0.7500 0.7500 0.7500
0.5000 0.5000 0.5000
```

---

Below is an optimized crystal structure of AsPOs, with properties calculated at the PBE-GGA level.

Values from the calculation:
Mass density   9.93 g/cm³
Excess energy over the best structure of this formula in the dataset   1032 meV per atom
Space-group type   F-43m
Calculated formation energy   0.664 eV per atom

```
AsPOs
1.0
-1.4884 2.9065 -2.5154
-3.8378 -0.3151 -1.4704
-2.9342 2.5713 1.3301
Os As P
1 1 1
Direct
0.5000 0.5000 0.5000
0.0000 0.0000 0.0000
0.7500 0.7500 0.7500
```

---

Below is an optimized crystal structure of AsPOs, with properties calculated at the PBE-GGA level.

Values from the calculation:
Mass density   10.15 g/cm³
Excess energy over the best structure of this formula in the dataset   0 meV per atom
Space-group type   Pmn2_1
Calculated formation energy   -0.368 eV per atom

```
AsPOs
1.0
6.0897 0.0000 0.0000
0.0000 6.0900 -0.2859
0.0000 -2.9041 5.3609
As Os P
4 4 4
Direct
0.1293 0.3305 0.9195
0.6295 0.1695 0.5807
0.6293 0.6695 0.0805
0.1295 0.8305 0.4193
0.0060 0.2590 0.4910
0.0059 0.7591 0.9909
0.5059 0.2409 0.0091
0.5060 0.7410 0.5090
0.3664 0.8369 0.9129
0.8666 0.6631 0.5869
0.3666 0.3369 0.4131
0.8664 0.1631 0.0871
```

---

Below is an optimized crystal structure of AsPOs2, with properties calculated at the PBE-GGA level.

Values from the calculation:
Mass density   13.52 g/cm³
Excess energy over the best structure of this formula in the dataset   201 meV per atom
Space-group type   Imm2
Calculated formation energy   0.264 eV per atom

```
AsPOs2
1.0
-1.1678 5.8515 0.1262
-3.4507 3.4281 3.4583
4.2994 -4.0863 -0.6609
P Os As
1 2 1
Direct
0.4635 0.4635 0.0000
0.0336 0.0336 0.0000
0.2978 0.7978 0.5000
0.7051 0.2051 0.5000
```

---

Below is an optimized crystal structure of AsPOs2, with properties calculated at the PBE-GGA level.

Values from the calculation:
Mass density   13.33 g/cm³
Excess energy over the best structure of this formula in the dataset   414 meV per atom
Space-group type   P2/m
Calculated formation energy   0.476 eV per atom

```
AsPOs2
1.0
3.7013 0.0000 0.0000
0.0000 3.0475 -0.0035
0.0000 1.1149 5.3695
Os P As
2 1 1
Direct
0.0000 0.3635 0.4826
0.0000 0.1365 0.0174
0.5000 0.2500 0.2500
0.5000 0.7500 0.7500
```

---

Below is an optimized crystal structure of As2POs, with properties calculated at the PBE-GGA level.

Values from the calculation:
Mass density   9.31 g/cm³
Space-group type   R-3m
Calculated formation energy   0.431 eV per atom

```
As2POs
1.0
-0.3019 -2.2559 -7.7206
1.0715 -4.7382 -6.4178
-2.0387 -4.4729 -6.3737
P As Os
1 2 1
Direct
0.7500 0.7500 0.7500
0.9947 0.9947 0.9947
0.5053 0.5053 0.5053
0.2500 0.2500 0.2500
```

---

Below is an optimized crystal structure of As2POs, with properties calculated at the PBE-GGA level.

Values from the calculation:
Mass density   9.75 g/cm³
Space-group type   Cmmm
Calculated formation energy   0.673 eV per atom

```
As2POs
1.0
4.5970 -0.0204 0.0000
-1.2446 4.4254 0.0000
0.0000 0.0000 3.1089
Os As P
1 2 1
Direct
0.5000 0.0000 0.5000
0.0000 0.0000 0.0000
0.5000 0.5000 0.0000
0.0000 0.5000 0.5000
```